Material: Ce3ZnHg2
Method: DFT, PBE
State: relaxed

Unit cell a=3.8386 b=3.8386 c=10.6887 alpha=90.00 beta=90.00 gamma=90.00
Space group P4/mmm (No. 123)
Symmetry-distinct sites (fractional):
Ce 0.0000 0.0000 0.0000 x1
Ce 0.0000 0.0000 0.3631 x2
Zn 0.5000 0.5000 0.5000 x1
Hg 0.5000 0.5000 0.1828 x2

## Properties
- magnetization (μB per atom) = 0.536
- uncorrected energy (eV per atom) = -3.54
- formation energy from the elements (kJ per mole of atoms) = -24.7